Compound: BeSn2N
Source: Alexandria
Functional: GGA-PBE
Structure: optimized geometry

M_tot: 0.74 Bohr magnetons per cell
Volume: 16.6 Å³ per atom
Energy relative to the elements, uncorrected: 1.13 eV/atom
Relative energy among the computed polymorphs: 2.78 eV/f.u.
Total DFT energy (no corrections): -3.881 eV/atom

Cell: 4.543 4.543 4.543 Å, 60.00 60.00 60.00°
Positions (direct):
Be: 0.000 0.000 0.000
Sn: 0.250 0.250 0.250
Sn: 0.750 0.750 0.750
N: 0.500 0.500 0.500

=====

Compound: BeSn2N
Source: Alexandria
Functional: GGA-PBE
Structure: optimized geometry

M_tot: 0.00 Bohr magnetons per cell
Volume: 19.4 Å³ per atom
Energy relative to the elements, uncorrected: 0.44 eV/atom
Relative energy among the computed polymorphs: 0.00 eV/f.u.
Total DFT energy (no corrections): -4.576 eV/atom

Cell: 6.491 6.491 6.491 Å, 130.36 130.36 72.83°
Positions (direct):
Be: 0.000 0.000 0.000
Be: 0.750 0.250 0.500
Sn: 0.157 0.625 0.032
Sn: 0.375 0.407 0.532
Sn: 0.593 0.125 0.968
Sn: 0.875 0.843 0.468
N: 0.250 0.750 0.500
N: 0.500 0.500 0.000

=====

Compound: Be3SnN
Source: Alexandria
Functional: GGA-PBE
Structure: optimized geometry

M_tot: 1.01 Bohr magnetons per cell
Volume: 18.5 Å³ per atom
Energy relative to the elements, uncorrected: 2.02 eV/atom
Relative energy among the computed polymorphs: 8.92 eV/f.u.
Total DFT energy (no corrections): -2.685 eV/atom

Cell: 4.521 4.521 4.521 Å, 90.00 90.00 90.00°
Positions (direct):
Be: 0.000 0.000 0.500
Be: 0.000 0.500 0.000
Be: 0.500 0.000 0.000
Sn: 0.000 0.000 0.000
N: 0.500 0.500 0.500

=====

Compound: Sr2Be2SnN4
Source: Alexandria
Functional: GGA-PBE
Structure: optimized geometry

M_tot: 0.00 Bohr magnetons per cell
Volume: 12.3 Å³ per atom
Energy relative to the elements, uncorrected: -0.57 eV/atom
Total DFT energy (no corrections): -5.915 eV/atom

Cell: 6.299 6.299 6.013 Å, 108.51 108.51 29.52°
Positions (direct):
Sr: 0.134 0.134 0.061
Sr: 0.866 0.866 0.939
Be: 0.317 0.317 0.508
Be: 0.683 0.683 0.492
Sn: 0.000 0.000 0.500
N: 0.207 0.207 0.654
N: 0.464 0.464 0.717
N: 0.536 0.536 0.283
N: 0.793 0.793 0.346

=====

Compound: Ta2BeSnN
Source: Alexandria
Functional: GGA-PBE
Structure: optimized geometry

M_tot: 0.00 Bohr magnetons per cell
Volume: 14.0 Å³ per atom
Energy relative to the elements, uncorrected: -0.15 eV/atom
Total DFT energy (no corrections): -8.101 eV/atom

Cell: 4.527 4.527 3.427 Å, 90.00 90.00 90.00°
Positions (direct):
Ta: 0.000 0.500 0.000
Ta: 0.500 0.000 0.000
Be: 0.000 0.000 0.500
Sn: 0.500 0.500 0.500
N: 0.000 0.000 0.000

=====

Compound: BeSnTe2N
Source: Alexandria
Functional: GGA-PBE
Structure: optimized geometry

M_tot: 0.00 Bohr magnetons per cell
Volume: 21.7 Å³ per atom
Energy relative to the elements, uncorrected: 0.26 eV/atom
Relative energy among the computed polymorphs: 0.00 eV/f.u.
Total DFT energy (no corrections): -4.209 eV/atom

Cell: 5.878 5.878 3.135 Å, 90.00 90.00 90.00°
Positions (direct):
Be: 0.000 0.000 0.000
Sn: 0.500 0.500 0.500
Te: 0.000 0.500 0.000
Te: 0.500 0.000 0.000
N: 0.000 0.000 0.500

=====

Compound: BeSnTe2N
Source: Alexandria
Functional: GGA-PBE
Structure: optimized geometry

M_tot: 0.00 Bohr magnetons per cell
Volume: 26.5 Å³ per atom
Energy relative to the elements, uncorrected: 1.21 eV/atom
Relative energy among the computed polymorphs: 4.77 eV/f.u.
Total DFT energy (no corrections): -3.254 eV/atom

Cell: 5.858 5.858 3.867 Å, 90.00 90.00 90.00°
Positions (direct):
Be: 0.000 0.000 0.000
Sn: 0.500 0.500 0.500
Te: 0.000 0.500 0.500
Te: 0.500 0.000 0.500
N: 0.500 0.500 0.000

=====

Compound: BeV2SnN
Source: Alexandria
Functional: GGA-PBE
Structure: optimized geometry

M_tot: 0.00 Bohr magnetons per cell
Volume: 12.2 Å³ per atom
Energy relative to the elements, uncorrected: -0.25 eV/atom
Total DFT energy (no corrections): -7.112 eV/atom

Cell: 4.187 4.187 3.469 Å, 90.00 90.00 90.00°
Positions (direct):
Be: 0.000 0.000 0.000
V: 0.000 0.500 0.500
V: 0.500 0.000 0.500
Sn: 0.500 0.500 0.000
N: 0.000 0.000 0.500

=====

Compound: BeSnW2N
Source: Alexandria
Functional: GGA-PBE
Structure: optimized geometry

M_tot: 0.00 Bohr magnetons per cell
Volume: 15.7 Å³ per atom
Energy relative to the elements, uncorrected: 0.68 eV/atom
Total DFT energy (no corrections): -7.715 eV/atom

Cell: 4.013 4.013 4.889 Å, 90.00 90.00 90.00°
Positions (direct):
Be: 0.000 0.000 0.000
Sn: 0.500 0.500 0.000
W: 0.000 0.500 0.500
W: 0.500 0.000 0.500
N: 0.500 0.500 0.500

=====

Compound: BeSn2WN
Source: Alexandria
Functional: GGA-PBE
Structure: optimized geometry

M_tot: 0.00 Bohr magnetons per cell
Volume: 18.0 Å³ per atom
Energy relative to the elements, uncorrected: 1.72 eV/atom
Total DFT energy (no corrections): -4.885 eV/atom

Cell: 4.626 4.626 4.217 Å, 90.00 90.00 90.00°
Positions (direct):
Be: 0.000 0.000 0.000
Sn: 0.000 0.500 0.000
Sn: 0.500 0.000 0.000
W: 0.000 0.000 0.500
N: 0.500 0.500 0.500

=====

Compound: SrBe3N3
Source: Alexandria
Functional: GGA-PBE
Structure: optimized geometry

M_tot: 0.00 Bohr magnetons per cell
Volume: 13.1 Å³ per atom
Energy relative to the elements, uncorrected: -0.81 eV/atom
Total DFT energy (no corrections): -6.211 eV/atom

Cell: 5.460 5.745 6.527 Å, 67.55 77.17 89.63°
Positions (direct):
Sr: 0.107 0.370 0.267
Sr: 0.893 0.630 0.733
Be: 0.100 0.977 0.870
Be: 0.318 0.309 0.699
Be: 0.429 0.847 0.498
Be: 0.571 0.153 0.502
Be: 0.682 0.691 0.301
Be: 0.900 0.023 0.130
N: 0.115 0.232 0.938
N: 0.276 0.019 0.621
N: 0.378 0.582 0.462
N: 0.622 0.418 0.538
N: 0.724 0.981 0.379
N: 0.885 0.768 0.062

=====

Compound: SrBe3N
Source: Alexandria
Functional: GGA-PBE
Structure: optimized geometry

M_tot: 0.00 Bohr magnetons per cell
Volume: 13.7 Å³ per atom
Energy relative to the elements, uncorrected: 0.86 eV/atom
Relative energy among the computed polymorphs: 0.00 eV/f.u.
Total DFT energy (no corrections): -3.374 eV/atom

Cell: 4.093 4.093 4.093 Å, 90.00 90.00 90.00°
Positions (direct):
Sr: 0.000 0.000 0.000
Be: 0.000 0.500 0.500
Be: 0.500 0.000 0.500
Be: 0.500 0.500 0.000
N: 0.500 0.500 0.500

=====

Compound: Sr2BeN
Source: Alexandria
Functional: GGA-PBE
Structure: optimized geometry

M_tot: 0.00 Bohr magnetons per cell
Volume: 21.5 Å³ per atom
Energy relative to the elements, uncorrected: 0.57 eV/atom
Relative energy among the computed polymorphs: 1.07 eV/f.u.
Total DFT energy (no corrections): -3.287 eV/atom

Cell: 4.951 4.951 4.951 Å, 60.00 60.00 60.00°
Positions (direct):
Sr: 0.250 0.250 0.250
Sr: 0.750 0.750 0.750
Be: 0.000 0.000 0.000
N: 0.500 0.500 0.500

=====

Compound: Sr2BeN
Source: Alexandria
Functional: GGA-PBE
Structure: optimized geometry

M_tot: 0.64 Bohr magnetons per cell
Volume: 27.6 Å³ per atom
Energy relative to the elements, uncorrected: 0.30 eV/atom
Relative energy among the computed polymorphs: 0.00 eV/f.u.
Total DFT energy (no corrections): -3.555 eV/atom

Cell: 6.607 6.607 6.607 Å, 111.74 111.74 105.02°
Positions (direct):
Sr: 0.042 0.625 0.917
Sr: 0.375 0.292 0.417
Sr: 0.708 0.125 0.083
Sr: 0.875 0.958 0.583
Be: 0.250 0.750 0.500
Be: 0.500 0.500 0.000
N: 0.000 0.000 0.000
N: 0.750 0.250 0.500

=====

Compound: SrBe2N
Source: Alexandria
Functional: GGA-PBE
Structure: optimized geometry

M_tot: 0.00 Bohr magnetons per cell
Volume: 15.6 Å³ per atom
Energy relative to the elements, uncorrected: 0.09 eV/atom
Total DFT energy (no corrections): -4.273 eV/atom

Cell: 5.613 5.613 5.613 Å, 60.00 60.00 60.00°
Positions (direct):
Sr: 0.125 0.125 0.125
Sr: 0.875 0.875 0.875
Be: 0.000 0.500 0.500
Be: 0.500 0.000 0.500
Be: 0.500 0.500 0.000
Be: 0.500 0.500 0.500
N: 0.375 0.375 0.375
N: 0.625 0.625 0.625

=====

Compound: Sr3BeN3
Source: Alexandria
Functional: GGA-PBE
Structure: optimized geometry

M_tot: 1.04 Bohr magnetons per cell
Volume: 18.8 Å³ per atom
Energy relative to the elements, uncorrected: -0.42 eV/atom
Total DFT energy (no corrections): -5.244 eV/atom

Cell: 6.352 6.352 6.352 Å, 115.85 115.85 115.85°
Positions (direct):
Sr: 0.186 0.186 0.629
Sr: 0.186 0.629 0.186
Sr: 0.629 0.186 0.186
Be: 0.524 0.524 0.524
N: 0.307 0.587 0.587
N: 0.587 0.307 0.587
N: 0.587 0.587 0.307

=====

Compound: SrBe3N
Source: Alexandria
Functional: GGA-PBE
Structure: optimized geometry

M_tot: 2.22 Bohr magnetons per cell
Volume: 47.8 Å³ per atom
Energy relative to the elements, uncorrected: 2.94 eV/atom
Relative energy among the computed polymorphs: 10.38 eV/f.u.
Total DFT energy (no corrections): -1.298 eV/atom

Cell: 6.205 6.205 6.205 Å, 90.00 90.00 90.00°
Positions (direct):
Sr: 0.000 0.000 0.000
Be: 0.000 0.000 0.500
Be: 0.000 0.500 0.000
Be: 0.500 0.000 0.000
N: 0.500 0.500 0.500

=====

Compound: SrBe2N2
Source: Alexandria
Functional: GGA-PBE
Structure: optimized geometry

M_tot: 0.00 Bohr magnetons per cell
Volume: 12.2 Å³ per atom
Energy relative to the elements, uncorrected: -0.87 eV/atom
Total DFT energy (no corrections): -6.024 eV/atom

Cell: 5.574 3.096 7.065 Å, 90.00 93.49 90.00°
Positions (direct):
Sr: 0.031 0.250 0.256
Sr: 0.969 0.750 0.744
Be: 0.399 0.750 0.969
Be: 0.403 0.250 0.545
Be: 0.597 0.750 0.455
Be: 0.601 0.250 0.031
N: 0.295 0.750 0.488
N: 0.300 0.250 0.949
N: 0.700 0.750 0.051
N: 0.705 0.250 0.512

=====

Compound: Sr3BeN
Source: Alexandria
Functional: GGA-PBE
Structure: optimized geometry

M_tot: 0.00 Bohr magnetons per cell
Volume: 28.5 Å³ per atom
Energy relative to the elements, uncorrected: -0.01 eV/atom
Relative energy among the computed polymorphs: 0.00 eV/f.u.
Total DFT energy (no corrections): -3.430 eV/atom

Cell: 5.224 5.224 5.224 Å, 90.00 90.00 90.00°
Positions (direct):
Sr: 0.000 0.000 0.500
Sr: 0.000 0.500 0.000
Sr: 0.500 0.000 0.000
Be: 0.500 0.500 0.500
N: 0.000 0.000 0.000

=====

Compound: SrTaBeN3
Source: Alexandria
Functional: GGA-PBE
Structure: optimized geometry

M_tot: 0.00 Bohr magnetons per cell
Volume: 12.6 Å³ per atom
Energy relative to the elements, uncorrected: -1.11 eV/atom
Total DFT energy (no corrections): -8.149 eV/atom

Cell: 7.033 3.171 7.108 Å, 90.00 107.93 90.00°
Positions (direct):
Sr: 0.203 0.250 0.238
Sr: 0.797 0.750 0.762
Ta: 0.329 0.750 0.838
Ta: 0.671 0.250 0.162
Be: 0.077 0.250 0.601
Be: 0.923 0.750 0.399
N: 0.136 0.250 0.854
N: 0.170 0.750 0.539
N: 0.464 0.750 0.156
N: 0.536 0.250 0.844
N: 0.830 0.250 0.461
N: 0.864 0.750 0.146

=====

Compound: SrTh2BeN4
Source: Alexandria
Functional: GGA-PBE
Structure: optimized geometry

M_tot: 0.00 Bohr magnetons per cell
Volume: 16.2 Å³ per atom
Energy relative to the elements, uncorrected: -1.32 eV/atom
Total DFT energy (no corrections): -8.016 eV/atom

Cell: 6.329 6.329 11.579 Å, 90.00 90.00 146.00°
Positions (direct):
Sr: 0.090 0.910 0.750
Sr: 0.910 0.090 0.250
Th: 0.368 0.632 0.559
Th: 0.368 0.632 0.941
Th: 0.632 0.368 0.059
Th: 0.632 0.368 0.441
Be: 0.196 0.804 0.250
Be: 0.804 0.196 0.750
N: 0.000 0.000 0.000
N: 0.000 0.000 0.500
N: 0.254 0.746 0.121
N: 0.254 0.746 0.379
N: 0.423 0.577 0.750
N: 0.577 0.423 0.250
N: 0.746 0.254 0.621
N: 0.746 0.254 0.879

=====

Compound: SrTiBeN3
Source: Alexandria
Functional: GGA-PBE
Structure: optimized geometry

M_tot: 0.00 Bohr magnetons per cell
Volume: 12.1 Å³ per atom
Energy relative to the elements, uncorrected: -0.95 eV/atom
Total DFT energy (no corrections): -7.328 eV/atom

Cell: 6.899 3.130 7.067 Å, 90.00 108.26 90.00°
Positions (direct):
Sr: 0.204 0.250 0.238
Sr: 0.796 0.750 0.762
Ti: 0.334 0.750 0.847
Ti: 0.666 0.250 0.153
Be: 0.087 0.250 0.601
Be: 0.913 0.750 0.399
N: 0.135 0.250 0.854
N: 0.171 0.750 0.541
N: 0.464 0.750 0.151
N: 0.536 0.250 0.849
N: 0.829 0.250 0.459
N: 0.865 0.750 0.146

=====

Compound: Sr4U3BeN8
Source: Alexandria
Functional: GGA-PBE
Structure: optimized geometry

M_tot: 3.87 Bohr magnetons per cell
Volume: 15.7 Å³ per atom
Energy relative to the elements, uncorrected: -0.91 eV/atom
Total DFT energy (no corrections): -7.844 eV/atom

Cell: 7.019 7.019 7.148 Å, 119.05 119.05 59.02°
Positions (direct):
Sr: 0.000 0.000 0.000
Sr: 0.000 0.500 0.000
Sr: 0.500 0.000 0.000
Sr: 0.500 0.500 0.000
U: 0.000 0.000 0.500
U: 0.000 0.500 0.500
U: 0.500 0.000 0.500
Be: 0.500 0.500 0.500
N: 0.223 0.734 0.691
N: 0.232 0.232 0.697
N: 0.253 0.253 0.299
N: 0.266 0.777 0.309
N: 0.734 0.223 0.691
N: 0.747 0.747 0.701
N: 0.768 0.768 0.303
N: 0.777 0.266 0.309

=====

Compound: SrUBeN3
Source: Alexandria
Functional: GGA-PBE
Structure: optimized geometry

M_tot: 2.02 Bohr magnetons per cell
Volume: 14.6 Å³ per atom
Energy relative to the elements, uncorrected: -1.18 eV/atom
Total DFT energy (no corrections): -8.121 eV/atom

Cell: 7.141 3.415 7.370 Å, 90.00 103.58 90.00°
Positions (direct):
Sr: 0.229 0.250 0.185
Sr: 0.771 0.750 0.815
U: 0.176 0.250 0.669
U: 0.824 0.750 0.331
Be: 0.401 0.750 0.931
Be: 0.599 0.250 0.069
N: 0.143 0.750 0.452
N: 0.156 0.750 0.866
N: 0.476 0.250 0.844
N: 0.524 0.750 0.156
N: 0.844 0.250 0.134
N: 0.857 0.250 0.548

=====

Compound: SrBeZnN2
Source: Alexandria
Functional: GGA-PBE
Structure: optimized geometry

M_tot: 0.00 Bohr magnetons per cell
Volume: 13.8 Å³ per atom
Energy relative to the elements, uncorrected: -0.53 eV/atom
Total DFT energy (no corrections): -5.192 eV/atom

Cell: 5.691 4.131 5.980 Å, 90.00 101.87 90.00°
Positions (direct):
Sr: 0.000 0.238 0.250
Sr: 0.000 0.762 0.750
Be: 0.500 0.000 0.000
Be: 0.500 0.000 0.500
Zn: 0.500 0.481 0.750
Zn: 0.500 0.519 0.250
N: 0.293 0.252 0.962
N: 0.293 0.748 0.462
N: 0.707 0.252 0.538
N: 0.707 0.748 0.038